(1)
Below is a geometry-optimized YMg2Ta structure, with properties calculated at the PBE-GGA level.

The value obtained for the calculated volume is 21.962 Å³ per atom. Its energy of formation from the pure elements is 1.520 eV/f.u. As for the crystal system: tetragonal. For the excess energy over the best structure of this formula in the dataset, the calculation gives 4.49 kcal/mol of atoms. For the electronic total energy, the calculation gives -20.0 eV for the cell shown. The total magnetization comes out at 0.00 μB per formula unit.

It has space group P4/mmm (No. 123), with a = 5.0653 Å, b = 5.0653 Å, c = 3.4240 Å, α = 90.00°, β = 90.00° and γ = 90.00°. The distinct sites, in fractional coordinates, are Y at (0.0000, 0.0000, 0.0000), Mg at (0.0000, 0.5000, 0.5000) and Ta at (0.5000, 0.5000, 0.0000).

=====

(2)
Below is a geometry-optimized YMgTa2 structure, with properties calculated at the PBE-GGA level.

The value obtained for the calculated volume is 21.482 Å³ per atom. Its energy of formation from the pure elements is 1.276 eV/f.u. As for the crystal system: tetragonal. For the electronic total energy, the calculation gives -30.5 eV for the cell shown. The total magnetization comes out at 0.00 μB per formula unit.

It has space group P4mm (No. 99), with a = 2.9389 Å, b = 2.9389 Å, c = 9.9483 Å, α = 90.00°, β = 90.00° and γ = 90.00°. The distinct sites, in fractional coordinates, are Y at (0.0000, 0.0000, 0.0000), Mg at (0.5000, 0.5000, 0.2851), Ta at (0.0000, 0.0000, 0.5230) and Ta at (0.5000, 0.5000, 0.7494).

=====

(3)
Below is a geometry-optimized YMgTa2 structure, with properties calculated at the PBE-GGA level.

The value obtained for the calculated volume is 21.289 Å³ per atom. Its energy of formation from the pure elements is 1.908 eV/f.u. As for the crystal system: orthorhombic. For the electronic total energy, the calculation gives -59.7 eV for the cell shown. The total magnetization comes out at 0.00 μB per formula unit.

It has space group Cmmm (No. 65), with a = 5.9215 Å, b = 9.9033 Å, c = 2.9043 Å, α = 90.00°, β = 90.00° and γ = 90.00°. The distinct sites, in fractional coordinates, are Y at (0.0000, 0.0000, 0.0000), Mg at (0.0000, 0.5000, 0.0000) and Ta at (0.2500, 0.2500, 0.5000).

=====

(4)
Below is a geometry-optimized YMgTa structure, with properties calculated at the PBE-GGA level.

The value obtained for the calculated volume is 23.044 Å³ per atom. Its energy of formation from the pure elements is 0.779 eV/f.u. As for the crystal system: tetragonal. For the excess energy over the best structure of this formula in the dataset, the calculation gives 0.00 kcal/mol of atoms. For the electronic total energy, the calculation gives -38.3 eV for the cell shown. The total magnetization comes out at 0.00 μB per formula unit.

It has space group I4mm (No. 107), with a = 3.0500 Å, b = 3.0500 Å, c = 14.8636 Å, α = 90.00°, β = 90.00° and γ = 90.00°. The distinct sites, in fractional coordinates, are Y at (0.0000, 0.0000, 0.0000), Mg at (0.0000, 0.0000, 0.6895) and Ta at (0.0000, 0.0000, 0.3428).